Entry 1:
{
  "formula": "YNiOs2",
  "functional": "GGA-PBE",
  "state": "optimized geometry",
  "cell": [[-3.354, 1.560, -3.241], [3.941, -2.014, -2.144], [-1.290, -2.608, 0.080]],
  "species": ["Ni", "Os", "Os", "Y"],
  "fractional_positions": [[0.000, 0.500, 0.500], [0.000, 0.000, 0.000], [0.500, 0.500, 0.000], [0.500, 0.000, 0.500]],
  "dos_at_fermi_per_ev_atom": 0.92,
  "delta_e_f_mev_per_atom": 446,
  "final_energy_ev_per_atom": -8.231
}

---

Entry 2:
{
  "formula": "YNiOs2",
  "functional": "GGA-PBE",
  "state": "optimized geometry",
  "cell": [[4.257, 0.000, 0.000], [-2.129, 3.687, 0.000], [0.000, 0.000, 14.633]],
  "species": ["Y", "Y", "Y", "Ni", "Ni", "Ni", "Os", "Os", "Os", "Os", "Os", "Os"],
  "fractional_positions": [[0.000, 0.000, 0.866], [0.333, 0.667, 0.532], [0.667, 0.333, 0.199], [0.000, 0.000, 0.070], [0.333, 0.667, 0.736], [0.667, 0.333, 0.403], [0.000, 0.000, 0.672], [0.333, 0.667, 0.339], [0.667, 0.333, 0.005], [0.000, 0.000, 0.351], [0.333, 0.667, 0.018], [0.667, 0.333, 0.684]],
  "dos_at_fermi_per_ev_atom": 0.55,
  "delta_e_f_mev_per_atom": -66,
  "final_energy_ev_per_atom": -8.742
}

---

Entry 3:
{
  "formula": "YNiOs2",
  "functional": "GGA-PBE",
  "state": "optimized geometry",
  "cell": [[4.740, -0.011, -0.004], [3.780, 2.860, -0.004], [1.071, 0.358, 5.053]],
  "species": ["Ni", "Os", "Os", "Y"],
  "fractional_positions": [[0.261, 0.261, 0.210], [0.002, 0.002, 0.968], [0.739, 0.739, 0.844], [0.499, 0.499, 0.478]],
  "dos_at_fermi_per_ev_atom": 0.64,
  "delta_e_f_mev_per_atom": 184,
  "final_energy_ev_per_atom": -8.492
}

---

Entry 4:
{
  "formula": "YNiOs2",
  "functional": "GGA-PBE",
  "state": "optimized geometry",
  "cell": [[-0.685, 0.090, 4.817], [4.273, -1.845, 2.853], [4.791, 4.460, 0.810]],
  "species": ["Y", "Y", "Ni", "Ni", "Os", "Os", "Os", "Os"],
  "fractional_positions": [[0.685, 0.655, 0.764], [0.315, 0.345, 0.236], [0.629, 0.652, 0.355], [0.371, 0.348, 0.645], [0.252, 0.001, 0.985], [0.748, 0.999, 0.015], [0.946, 0.136, 0.613], [0.054, 0.864, 0.387]],
  "dos_at_fermi_per_ev_atom": 0.81,
  "delta_e_f_mev_per_atom": -84,
  "final_energy_ev_per_atom": -8.760
}

---

Entry 5:
{
  "formula": "YNi2Os2",
  "functional": "GGA-PBE",
  "state": "optimized geometry",
  "cell": [[4.097, 0.000, 0.000], [0.000, 4.097, 0.000], [2.048, 2.048, 5.024]],
  "species": ["Y", "Ni", "Ni", "Os", "Os"],
  "fractional_positions": [[0.000, 0.000, 0.000], [0.750, 0.250, 0.500], [0.250, 0.750, 0.500], [0.385, 0.385, 0.229], [0.615, 0.615, 0.771]],
  "dos_at_fermi_per_ev_atom": 1.57,
  "delta_e_f_mev_per_atom": 38,
  "final_energy_ev_per_atom": -8.059
}

---

Entry 6:
{
  "formula": "YNiOs2",
  "functional": "GGA-PBE",
  "state": "optimized geometry",
  "cell": [[-3.783, 0.442, 8.665], [-1.283, -0.623, 9.357], [-1.597, 2.149, 9.079]],
  "species": ["Ni", "Os", "Os", "Y"],
  "fractional_positions": [[0.250, 0.250, 0.250], [0.989, 0.989, 0.989], [0.511, 0.511, 0.511], [0.750, 0.750, 0.750]],
  "dos_at_fermi_per_ev_atom": 1.56,
  "delta_e_f_mev_per_atom": 571,
  "final_energy_ev_per_atom": -8.106
}

---

Entry 7:
{
  "formula": "YNiOs2",
  "functional": "GGA-PBE",
  "state": "optimized geometry",
  "cell": [[4.256, 0.000, 0.000], [0.000, 5.096, 0.000], [0.000, 0.000, 12.301]],
  "species": ["Y", "Y", "Y", "Y", "Ni", "Ni", "Ni", "Ni", "Os", "Os", "Os", "Os", "Os", "Os", "Os", "Os"],
  "fractional_positions": [[0.000, 0.250, 0.650], [0.000, 0.750, 0.350], [0.500, 0.750, 0.150], [0.500, 0.250, 0.850], [0.000, 0.250, 0.431], [0.000, 0.750, 0.569], [0.500, 0.750, 0.931], [0.500, 0.250, 0.069], [0.000, 0.000, 0.000], [0.000, 0.500, 0.000], [0.500, 0.500, 0.500], [0.500, 0.000, 0.500], [0.000, 0.250, 0.196], [0.000, 0.750, 0.804], [0.500, 0.750, 0.696], [0.500, 0.250, 0.304]],
  "dos_at_fermi_per_ev_atom": 0.76,
  "delta_e_f_mev_per_atom": -191,
  "final_energy_ev_per_atom": -8.867
}

---

Entry 8:
{
  "formula": "Y2NiOs2",
  "functional": "GGA-PBE",
  "state": "optimized geometry",
  "cell": [[-2.871, 4.459, -4.025], [-0.760, -4.695, -4.659], [-3.973, -1.033, 1.689]],
  "species": ["Y", "Y", "Y", "Y", "Ni", "Ni", "Os", "Os", "Os", "Os"],
  "fractional_positions": [[0.179, 0.679, 0.500], [0.679, 0.821, 0.500], [0.821, 0.321, 0.500], [0.321, 0.179, 0.500], [0.000, 0.000, 0.000], [0.500, 0.500, 0.000], [0.372, 0.872, 0.000], [0.872, 0.628, 0.000], [0.628, 0.128, 0.000], [0.128, 0.372, 0.000]],
  "dos_at_fermi_per_ev_atom": 0.85,
  "delta_e_f_mev_per_atom": -66,
  "final_energy_ev_per_atom": -8.300
}

---

Entry 9:
{
  "formula": "YNiOs2",
  "functional": "GGA-PBE",
  "state": "optimized geometry",
  "cell": [[4.111, 0.000, 0.000], [0.000, 4.111, 0.000], [2.055, 2.055, 9.120]],
  "species": ["Y", "Y", "Ni", "Ni", "Os", "Os", "Os", "Os"],
  "fractional_positions": [[0.000, 0.000, 0.000], [0.750, 0.250, 0.500], [0.500, 0.500, 0.000], [0.250, 0.750, 0.500], [0.520, 0.125, 0.250], [0.230, 0.625, 0.250], [0.375, 0.480, 0.750], [0.875, 0.770, 0.750]],
  "dos_at_fermi_per_ev_atom": 1.63,
  "delta_e_f_mev_per_atom": 440,
  "final_energy_ev_per_atom": -8.236
}

---

Entry 10:
{
  "formula": "YNiOs2",
  "functional": "GGA-PBE",
  "state": "optimized geometry",
  "cell": [[4.806, 0.001, 0.000], [2.141, 5.100, 0.000], [0.151, 2.845, 5.871]],
  "species": ["Y", "Y", "Ni", "Ni", "Os", "Os", "Os", "Os"],
  "fractional_positions": [[0.376, 0.492, 0.677], [0.729, 0.822, 0.220], [0.694, 0.819, 0.793], [0.794, 0.172, 0.469], [0.296, 0.151, 0.445], [0.104, 0.022, 0.842], [0.982, 0.294, 0.070], [0.409, 0.508, 0.099]],
  "dos_at_fermi_per_ev_atom": 0.86,
  "delta_e_f_mev_per_atom": -104,
  "final_energy_ev_per_atom": -8.781
}

---

Entry 11:
{
  "formula": "YNiOs2",
  "functional": "GGA-PBE",
  "state": "optimized geometry",
  "cell": [[5.080, 0.000, -0.011], [0.000, 4.304, 0.000], [-0.230, 0.000, 12.426]],
  "species": ["Y", "Y", "Y", "Y", "Ni", "Ni", "Ni", "Ni", "Os", "Os", "Os", "Os", "Os", "Os", "Os", "Os"],
  "fractional_positions": [[0.483, 0.000, 0.647], [0.517, 0.000, 0.353], [0.483, 0.500, 0.147], [0.517, 0.500, 0.853], [0.971, 0.000, 0.590], [0.029, 0.000, 0.410], [0.971, 0.500, 0.090], [0.029, 0.500, 0.910], [0.742, 0.000, 0.000], [0.258, 0.000, 0.000], [0.742, 0.500, 0.500], [0.258, 0.500, 0.500], [0.024, 0.000, 0.197], [0.976, 0.000, 0.803], [0.024, 0.500, 0.697], [0.976, 0.500, 0.303]],
  "dos_at_fermi_per_ev_atom": 0.78,
  "delta_e_f_mev_per_atom": -91,
  "final_energy_ev_per_atom": -8.767
}

---

Entry 12:
{
  "formula": "YNiOs2",
  "functional": "GGA-PBE",
  "state": "optimized geometry",
  "cell": [[-2.915, 2.903, 2.353], [-3.936, -0.045, -2.640], [2.408, -3.711, 1.699]],
  "species": ["Ni", "Os", "Os", "Y"],
  "fractional_positions": [[0.750, 0.250, 0.500], [0.000, 0.000, 0.000], [0.250, 0.750, 0.500], [0.500, 0.500, 0.000]],
  "dos_at_fermi_per_ev_atom": 0.97,
  "delta_e_f_mev_per_atom": 262,
  "final_energy_ev_per_atom": -8.414
}

---

Entry 13:
{
  "formula": "YNiOs2",
  "functional": "GGA-PBE",
  "state": "optimized geometry",
  "cell": [[-4.587, -0.439, -3.318], [-5.242, -1.952, -0.979], [-3.194, 2.943, 1.009]],
  "species": ["Ni", "Os", "Os", "Y"],
  "fractional_positions": [[0.250, 0.250, 0.250], [0.966, 0.966, 0.034], [0.534, 0.534, 0.466], [0.750, 0.750, 0.750]],
  "dos_at_fermi_per_ev_atom": 1.17,
  "delta_e_f_mev_per_atom": 181,
  "final_energy_ev_per_atom": -8.495
}

---

Entry 14:
{
  "formula": "YNiOs2",
  "functional": "GGA-PBE",
  "state": "optimized geometry",
  "cell": [[-3.639, -2.096, -0.100], [0.101, -0.036, -2.920], [2.710, -4.643, -1.308]],
  "species": ["Ni", "Os", "Os", "Y"],
  "fractional_positions": [[0.500, 0.936, 0.753], [0.000, 0.798, 0.028], [0.500, 0.226, 0.173], [0.000, 0.540, 0.546]],
  "dos_at_fermi_per_ev_atom": 0.93,
  "delta_e_f_mev_per_atom": 109,
  "final_energy_ev_per_atom": -8.567
}

---

Entry 15:
{
  "formula": "YNiOs2",
  "functional": "GGA-PBE",
  "state": "optimized geometry",
  "cell": [[4.354, 0.000, 0.000], [0.000, 4.169, 0.148], [0.000, 1.332, 3.981]],
  "species": ["Ni", "Os", "Os", "Y"],
  "fractional_positions": [[0.500, 0.750, 0.750], [0.000, 0.933, 0.935], [0.000, 0.567, 0.565], [0.500, 0.250, 0.250]],
  "dos_at_fermi_per_ev_atom": 0.51,
  "delta_e_f_mev_per_atom": 163,
  "final_energy_ev_per_atom": -8.513
}

---

Entry 16:
{
  "formula": "YNiOs2",
  "functional": "GGA-PBE",
  "state": "optimized geometry",
  "cell": [[-4.372, -5.950, -3.944], [7.001, -3.408, -2.621], [0.273, -4.963, 7.183]],
  "species": ["Y", "Y", "Y", "Y", "Y", "Y", "Y", "Y", "Ni", "Ni", "Ni", "Ni", "Ni", "Ni", "Ni", "Ni", "Os", "Os", "Os", "Os", "Os", "Os", "Os", "Os", "Os", "Os", "Os", "Os", "Os", "Os", "Os", "Os"],
  "fractional_positions": [[0.000, 0.000, 0.697], [0.000, 0.000, 0.303], [0.000, 0.500, 0.197], [0.000, 0.500, 0.803], [0.500, 0.000, 0.197], [0.500, 0.000, 0.803], [0.500, 0.500, 0.697], [0.500, 0.500, 0.303], [0.250, 0.250, 0.250], [0.250, 0.750, 0.750], [0.750, 0.250, 0.750], [0.750, 0.750, 0.250], [0.750, 0.750, 0.750], [0.750, 0.250, 0.250], [0.250, 0.750, 0.250], [0.250, 0.250, 0.750], [0.356, 0.354, 0.000], [0.356, 0.646, 0.000], [0.644, 0.354, 0.000], [0.644, 0.646, 0.000], [0.356, 0.854, 0.500], [0.356, 0.146, 0.500], [0.644, 0.854, 0.500], [0.644, 0.146, 0.500], [0.856, 0.354, 0.500], [0.856, 0.646, 0.500], [0.144, 0.354, 0.500], [0.144, 0.646, 0.500], [0.856, 0.854, 0.000], [0.856, 0.146, 0.000], [0.144, 0.854, 0.000], [0.144, 0.146, 0.000]],
  "dos_at_fermi_per_ev_atom": 0.86,
  "delta_e_f_mev_per_atom": -83,
  "final_energy_ev_per_atom": -8.759
}

---

Entry 17:
{
  "formula": "YNiOs2",
  "functional": "GGA-PBE",
  "state": "optimized geometry",
  "cell": [[3.047, 0.000, 0.000], [0.000, 4.496, 0.000], [0.000, 0.000, 4.710]],
  "species": ["Ni", "Os", "Os", "Y"],
  "fractional_positions": [[0.000, 0.500, 0.500], [0.000, 0.000, 0.000], [0.500, 0.500, 0.000], [0.500, 0.000, 0.500]],
  "dos_at_fermi_per_ev_atom": 0.92,
  "delta_e_f_mev_per_atom": 258,
  "final_energy_ev_per_atom": -8.418
}

---

Entry 18:
{
  "formula": "YNiOs2",
  "functional": "GGA-PBE",
  "state": "optimized geometry",
  "cell": [[5.179, 0.015, 0.000], [2.284, 4.648, 0.000], [-3.731, -2.332, 2.731]],
  "species": ["Ni", "Os", "Os", "Y"],
  "fractional_positions": [[0.750, 0.250, 0.500], [0.000, 0.000, 0.000], [0.500, 0.500, 0.000], [0.250, 0.750, 0.500]],
  "dos_at_fermi_per_ev_atom": 1.47,
  "delta_e_f_mev_per_atom": 367,
  "final_energy_ev_per_atom": -8.309
}

---

Entry 19:
{
  "formula": "Y3NiOs",
  "functional": "GGA-PBE",
  "state": "optimized geometry",
  "cell": [[-0.765, 4.582, 2.585], [-4.913, -1.557, 1.305], [1.882, -2.201, 4.458]],
  "species": ["Y", "Y", "Y", "Ni", "Os"],
  "fractional_positions": [[0.000, 0.500, 0.000], [0.000, 0.000, 0.500], [0.500, 0.000, 0.000], [0.500, 0.500, 0.500], [0.000, 0.000, 0.000]],
  "dos_at_fermi_per_ev_atom": 0.72,
  "delta_e_f_mev_per_atom": 341,
  "final_energy_ev_per_atom": -6.939
}

---

Entry 20:
{
  "formula": "YNiOs2",
  "functional": "GGA-PBE",
  "state": "optimized geometry",
  "cell": [[4.357, 0.000, 0.000], [0.000, 3.852, 0.000], [0.000, 0.000, 3.852]],
  "species": ["Ni", "Os", "Os", "Y"],
  "fractional_positions": [[0.500, 0.000, 0.500], [0.000, 0.000, 0.000], [0.000, 0.500, 0.500], [0.500, 0.500, 0.000]],
  "dos_at_fermi_per_ev_atom": 0.96,
  "delta_e_f_mev_per_atom": 223,
  "final_energy_ev_per_atom": -8.453
}